Entry from Alexandria: a geometry-optimized Rb3Tl2Cl5 structure (PBE-GGA).

Calculated values
Raw formation energy: -1451 kJ/mol of formula units
Magnetization: 0.00 μB per formula unit

```
data_Rb3Tl2Cl5
_chemical_formula_sum 'Rb6 Tl4 Cl10'
_cell_length_a 16.7573
_cell_length_b 4.5011
_cell_length_c 12.0909
_cell_angle_alpha 90.00
_cell_angle_beta 126.32
_cell_angle_gamma 90.00
_symmetry_space_group_name_H-M 'C 1 2/m 1'
_symmetry_Int_Tables_number 12
loop_
_symmetry_equiv_pos_as_xyz
'x,y,z'
'-x,-y,-z'
'-x,y,-z'
'x,-y,z'
'x+1/2,y+1/2,z'
'-x+1/2,-y+1/2,-z'
'-x+1/2,y+1/2,-z'
'x+1/2,-y+1/2,z'
loop_
_atom_site_label
_atom_site_fract_x
_atom_site_fract_y
_atom_site_fract_z
_atom_site_occupancy
Rb1 0.0000 0.0000 0.0000 1
Rb2 0.1110 0.5000 0.3719 1
Tl1 0.1773 0.0000 0.7771 1
Cl1 0.0000 0.5000 0.5000 1
Cl2 0.1091 0.5000 0.9215 1
Cl3 0.2102 0.0000 0.2990 1
```

Entry from Alexandria: a geometry-optimized RbTlCl structure (PBE-GGA).

Calculated values
Raw formation energy: -324 kJ/mol of formula units
Magnetization: 0.00 μB per formula unit

```
data_RbTlCl
_chemical_formula_sum 'Rb2 Tl2 Cl2'
_cell_length_a 4.5784
_cell_length_b 4.5866
_cell_length_c 10.9800
_cell_angle_alpha 90.00
_cell_angle_beta 90.37
_cell_angle_gamma 90.00
_symmetry_space_group_name_H-M 'P 1 21/m 1'
_symmetry_Int_Tables_number 11
loop_
_symmetry_equiv_pos_as_xyz
'x,y,z'
'-x,-y,-z'
'-x,y+1/2,-z'
'x,-y+1/2,z'
loop_
_atom_site_label
_atom_site_fract_x
_atom_site_fract_y
_atom_site_fract_z
_atom_site_occupancy
Rb1 0.2450 0.2500 0.3456 1
Tl1 0.2498 0.2500 0.9663 1
Cl1 0.2548 0.2500 0.6509 1
```

Entry from Alexandria: a geometry-optimized RbTl3Cl structure (PBE-GGA).

Calculated values
Raw formation energy: 203 kJ/mol of formula units
Magnetization: 0.00 μB per formula unit

```
data_RbTl3Cl
_chemical_formula_sum 'Rb1 Tl3 Cl1'
_cell_length_a 6.6778
_cell_length_b 6.6778
_cell_length_c 6.6778
_cell_angle_alpha 90.00
_cell_angle_beta 90.00
_cell_angle_gamma 90.00
_symmetry_space_group_name_H-M 'P m -3 m'
_symmetry_Int_Tables_number 221
_symmetry_space_group_name_Hall '-P 4 2 3'
loop_
_atom_site_label
_atom_site_fract_x
_atom_site_fract_y
_atom_site_fract_z
_atom_site_occupancy
Rb1 0.0000 0.0000 0.0000 1
Tl1 0.0000 0.0000 0.5000 1
Cl1 0.5000 0.5000 0.5000 1
```

Entry from Alexandria: a geometry-optimized Rb4TlCl6 structure (PBE-GGA).

Calculated values
Raw formation energy: -1690 kJ/mol of formula units
Magnetization: 0.00 μB per formula unit

```
data_Rb4TlCl6
_chemical_formula_sum 'Rb8 Tl2 Cl12'
_cell_length_a 9.1108
_cell_length_b 9.1108
_cell_length_c 9.1729
_cell_angle_alpha 90.00
_cell_angle_beta 90.00
_cell_angle_gamma 90.00
_symmetry_space_group_name_H-M 'P 4/m n c'
_symmetry_Int_Tables_number 128
_symmetry_space_group_name_Hall '-P 4 2n'
loop_
_atom_site_label
_atom_site_fract_x
_atom_site_fract_y
_atom_site_fract_z
_atom_site_occupancy
Rb1 0.1690 0.3310 0.2500 1
Tl1 0.0000 0.0000 0.0000 1
Cl1 0.0000 0.0000 0.3028 1
Cl2 0.1003 0.6905 0.0000 1
```

Entry from Alexandria: a geometry-optimized Rb5TlCl8 structure (PBE-GGA).

Calculated values
Raw formation energy: -2069 kJ/mol of formula units
Magnetization: 0.46 μB per formula unit

```
data_Rb5TlCl8
_chemical_formula_sum 'Rb10 Tl2 Cl16'
_cell_length_a 11.1340
_cell_length_b 11.1340
_cell_length_c 9.8529
_cell_angle_alpha 90.00
_cell_angle_beta 90.00
_cell_angle_gamma 90.00
_symmetry_space_group_name_H-M 'I -4'
_symmetry_Int_Tables_number 82
loop_
_symmetry_equiv_pos_as_xyz
'x,y,z'
'y,-x,-z'
'-x,-y,z'
'-y,x,-z'
'x+1/2,y+1/2,z+1/2'
'y+1/2,-x+1/2,-z+1/2'
'-x+1/2,-y+1/2,z+1/2'
'-y+1/2,x+1/2,-z+1/2'
loop_
_atom_site_label
_atom_site_fract_x
_atom_site_fract_y
_atom_site_fract_z
_atom_site_occupancy
Rb1 0.0000 0.0000 0.0000 1
Rb2 0.2119 0.2834 0.3696 1
Tl1 0.0000 0.5000 0.7500 1
Cl1 0.0292 0.2968 0.6478 1
Cl2 0.0694 0.2611 0.0901 1
```

Entry from Alexandria: a geometry-optimized Rb2Tl2Cl5 structure (PBE-GGA).

Calculated values
Raw formation energy: -1162 kJ/mol of formula units
Magnetization: 0.00 μB per formula unit

```
data_Rb2Tl2Cl5
_chemical_formula_sum 'Rb8 Tl8 Cl20'
_cell_length_a 22.6543
_cell_length_b 8.1154
_cell_length_c 7.4496
_cell_angle_alpha 90.00
_cell_angle_beta 90.00
_cell_angle_gamma 90.00
_symmetry_space_group_name_H-M 'I m a 2'
_symmetry_Int_Tables_number 46
loop_
_symmetry_equiv_pos_as_xyz
'x,y,z'
'-x,-y,z'
'-x+1/2,y,z'
'x+1/2,-y,z'
'x+1/2,y+1/2,z+1/2'
'-x+1/2,-y+1/2,z+1/2'
'-x,y+1/2,z+1/2'
'x,-y+1/2,z+1/2'
loop_
_atom_site_label
_atom_site_fract_x
_atom_site_fract_y
_atom_site_fract_z
_atom_site_occupancy
Rb1 0.1086 0.0256 0.0000 1
Tl1 0.0000 0.0000 0.5098 1
Tl2 0.2500 0.5557 0.9626 1
Cl1 0.0172 0.7473 0.7577 1
Cl2 0.1233 0.0692 0.5220 1
Cl3 0.2500 0.5814 0.5521 1
```

Entry from Alexandria: a geometry-optimized Rb5TlCl6 structure (PBE-GGA).

Calculated values
Raw formation energy: -2074 kJ/mol of formula units
Magnetization: 0.00 μB per formula unit

```
data_Rb5TlCl6
_chemical_formula_sum 'Rb10 Tl2 Cl12'
_cell_length_a 8.1633
_cell_length_b 14.1427
_cell_length_c 8.1620
_cell_angle_alpha 90.00
_cell_angle_beta 109.47
_cell_angle_gamma 90.00
_symmetry_space_group_name_H-M 'C 1 2/m 1'
_symmetry_Int_Tables_number 12
loop_
_symmetry_equiv_pos_as_xyz
'x,y,z'
'-x,-y,-z'
'-x,y,-z'
'x,-y,z'
'x+1/2,y+1/2,z'
'-x+1/2,-y+1/2,-z'
'-x+1/2,y+1/2,-z'
'x+1/2,-y+1/2,z'
loop_
_atom_site_label
_atom_site_fract_x
_atom_site_fract_y
_atom_site_fract_z
_atom_site_occupancy
Rb1 0.0000 0.0000 0.0000 1
Rb2 0.0000 0.1668 0.5000 1
Rb3 0.0000 0.3340 0.0000 1
Tl1 0.0000 0.5000 0.5000 1
Cl1 0.2471 0.5000 0.2528 1
Cl2 0.2480 0.3350 0.7490 1
```

Entry from Alexandria: a geometry-optimized Rb2TlCl4 structure (PBE-GGA).

Calculated values
Raw formation energy: -966 kJ/mol of formula units
Magnetization: 0.00 μB per formula unit

```
data_Rb2TlCl4
_chemical_formula_sum 'Rb4 Tl2 Cl8'
_cell_length_a 5.4927
_cell_length_b 5.4927
_cell_length_c 16.9197
_cell_angle_alpha 90.00
_cell_angle_beta 90.00
_cell_angle_gamma 90.00
_symmetry_space_group_name_H-M 'I 4/m m m'
_symmetry_Int_Tables_number 139
_symmetry_space_group_name_Hall '-I 4 2'
loop_
_atom_site_label
_atom_site_fract_x
_atom_site_fract_y
_atom_site_fract_z
_atom_site_occupancy
Rb1 0.0000 0.0000 0.1413 1
Tl1 0.0000 0.0000 0.5000 1
Cl1 0.0000 0.0000 0.3318 1
Cl2 0.0000 0.5000 0.0000 1
```

Entry from Alexandria: a geometry-optimized Rb6Tl3Cl14 structure (PBE-GGA).

Calculated values
Raw formation energy: -3033 kJ/mol of formula units
Magnetization: 0.42 μB per formula unit

```
data_Rb6Tl3Cl14
_chemical_formula_sum 'Rb6 Tl3 Cl14'
_cell_length_a 12.1559
_cell_length_b 12.1559
_cell_length_c 6.4933
_cell_angle_alpha 90.00
_cell_angle_beta 90.00
_cell_angle_gamma 120.00
_symmetry_space_group_name_H-M 'P 3'
_symmetry_Int_Tables_number 143
loop_
_symmetry_equiv_pos_as_xyz
'x,y,z'
'-y,x-y,z'
'-x+y,-x,z'
loop_
_atom_site_label
_atom_site_fract_x
_atom_site_fract_y
_atom_site_fract_z
_atom_site_occupancy
Rb1 0.0092 0.5626 0.0000 1
Rb2 0.3236 0.1058 0.4655 1
Tl1 0.0000 0.0000 0.8897 1
Tl2 0.3333 0.6667 0.4165 1
Tl3 0.6667 0.3333 0.7382 1
Cl1 0.0000 0.0000 0.2703 1
Cl2 0.0786 0.8617 0.7530 1
Cl3 0.1942 0.4518 0.2704 1
Cl4 0.3333 0.6667 0.7943 1
Cl5 0.4306 0.1752 0.9660 1
Cl6 0.5097 0.4129 0.5112 1
```

Entry from Alexandria: a geometry-optimized RbTl5Cl7 structure (PBE-GGA).

Calculated values
Raw formation energy: -1355 kJ/mol of formula units
Magnetization: 0.00 μB per formula unit

```
data_RbTl5Cl7
_chemical_formula_sum 'Rb4 Tl20 Cl28'
_cell_length_a 4.4976
_cell_length_b 14.5884
_cell_length_c 26.8373
_cell_angle_alpha 90.00
_cell_angle_beta 90.00
_cell_angle_gamma 90.00
_symmetry_space_group_name_H-M 'C m c m'
_symmetry_Int_Tables_number 63
_symmetry_space_group_name_Hall '-C 2c 2'
loop_
_atom_site_label
_atom_site_fract_x
_atom_site_fract_y
_atom_site_fract_z
_atom_site_occupancy
Rb1 0.0000 0.1798 0.2500 1
Tl1 0.0000 0.0000 0.0000 1
Tl2 0.0000 0.2898 0.5757 1
Tl3 0.0000 0.4369 0.1503 1
Cl1 0.0000 0.0738 0.1145 1
Cl2 0.0000 0.2013 0.6761 1
Cl3 0.0000 0.3593 0.0416 1
Cl4 0.0000 0.4940 0.7500 1
```

Entry from Alexandria: a geometry-optimized Rb2TlCl structure (PBE-GGA).

Calculated values
Raw formation energy: -279 kJ/mol of formula units
Magnetization: 0.00 μB per formula unit

```
data_Rb2TlCl
_chemical_formula_sum 'Rb8 Tl4 Cl4'
_cell_length_a 9.5613
_cell_length_b 9.5613
_cell_length_c 8.4711
_cell_angle_alpha 90.00
_cell_angle_beta 90.00
_cell_angle_gamma 90.00
_symmetry_space_group_name_H-M 'I -4 2 d'
_symmetry_Int_Tables_number 122
_symmetry_space_group_name_Hall 'I -4 2bw'
loop_
_atom_site_label
_atom_site_fract_x
_atom_site_fract_y
_atom_site_fract_z
_atom_site_occupancy
Rb1 0.1860 0.2500 0.1250 1
Tl1 0.0000 0.0000 0.5000 1
Cl1 0.0000 0.0000 0.0000 1
```

Entry from Alexandria: a geometry-optimized Rb2TlCl structure (PBE-GGA).

Calculated values
Raw formation energy: -298 kJ/mol of formula units
Magnetization: 0.00 μB per formula unit

```
data_Rb2TlCl
_chemical_formula_sum 'Rb6 Tl3 Cl3'
_cell_length_a 4.3237
_cell_length_b 4.3237
_cell_length_c 34.5573
_cell_angle_alpha 90.00
_cell_angle_beta 90.00
_cell_angle_gamma 120.00
_symmetry_space_group_name_H-M 'R -3 m'
_symmetry_Int_Tables_number 166
_symmetry_space_group_name_Hall '-R 3 2"'
loop_
_atom_site_label
_atom_site_fract_x
_atom_site_fract_y
_atom_site_fract_z
_atom_site_occupancy
Rb1 0.0000 0.0000 0.1057 1
Tl1 0.0000 0.0000 0.0000 1
Cl1 0.0000 0.0000 0.5000 1
```